# 1
Crystalline TlGaHg at its relaxed geometry. Source: Alexandria via LeMat-Bulk, functional GGA-PBE.

Calculated values
- Fermi-level density of states (states/eV per atom) = 0.44
- final energy (eV/atom) = -1.8579
- symmetry = No. 1

```
6
Lattice="3.368 0.000 0.000 0.016 5.793 0.000 0.123 2.527 7.954" Properties=species:S:1:pos:R:3 pbc="T T T"
Tl 0.000 0.000 0.000
Tl 1.701 5.256 5.875
Ga 1.674 6.598 2.813
Ga 3.363 4.450 3.062
Hg 1.704 3.010 1.076
Hg 3.345 2.245 4.800
```



# 2
Crystalline CoReSb2 at its relaxed geometry. Source: Alexandria via LeMat-Bulk, functional GGA-PBE.

Calculated values
- formation energy (no corrections) (eV/f.u.) = 1.74
- Fermi-level density of states (states/eV per atom) = 0.86
- final energy (eV/atom) = -6.5149
- symmetry = No. 25

```
4
Lattice="3.267 0.000 0.000 0.000 3.996 0.000 0.000 0.000 5.456" Properties=species:S:1:pos:R:3 pbc="T T T"
Co 0.000 0.000 0.000
Re 1.633 1.998 1.858
Sb 0.000 0.000 2.716
Sb 1.633 1.998 4.679
```



# 3
Crystalline ZnPBr2 at its relaxed geometry. Source: Alexandria via LeMat-Bulk, functional GGA-PBE.

Calculated values
- formation energy (no corrections) (eV/f.u.) = 0.83
- Fermi-level density of states (states/eV per atom) = 0.38
- final energy (eV/atom) = -2.2988
- symmetry = No. 166

```
12
Lattice="3.576 0.000 0.000 -1.788 3.096 0.000 0.000 0.000 31.325" Properties=species:S:1:pos:R:3 pbc="T T T"
Zn 0.000 0.000 0.000
Zn 0.000 2.064 20.883
Zn 1.788 1.032 10.442
P 0.000 0.000 15.662
P 0.000 2.064 5.221
P 1.788 1.032 26.104
Br 0.000 0.000 8.872
Br 0.000 0.000 22.453
Br 0.000 2.064 12.011
Br 0.000 2.064 29.755
Br 1.788 1.032 1.570
Br 1.788 1.032 19.313
```



# 4
Crystalline LaPaSb2 at its relaxed geometry. Source: Alexandria via LeMat-Bulk, functional GGA-PBE.

Calculated values
- formation energy (no corrections) (eV/f.u.) = -2.90
- Fermi-level density of states (states/eV per atom) = 1.20
- final energy (eV/atom) = -6.3930
- symmetry = No. 123

```
4
Lattice="3.812 0.000 0.000 0.000 3.812 0.000 0.000 0.000 7.747" Properties=species:S:1:pos:R:3 pbc="T T T"
La 0.000 0.000 0.000
Pa 0.000 0.000 3.874
Sb 1.906 1.906 2.084
Sb 1.906 1.906 5.664
```



# 5
Crystalline YTlCl2 at its relaxed geometry. Source: Alexandria via LeMat-Bulk, functional GGA-PBE.

Calculated values
- formation energy (no corrections) (eV/f.u.) = -4.78
- Fermi-level density of states (states/eV per atom) = 0.29
- final energy (eV/atom) = -4.3257
- symmetry = No. 38

```
8
Lattice="5.241 0.000 0.000 0.000 3.927 0.000 0.000 0.000 10.387" Properties=species:S:1:pos:R:3 pbc="T T T"
Y 0.000 0.000 0.000
Y 0.000 1.963 5.194
Tl 2.620 0.000 4.025
Tl 2.620 1.963 9.219
Cl 0.000 0.000 7.210
Cl 0.000 1.963 2.016
Cl 2.620 0.000 1.014
Cl 2.620 1.963 6.207
```



# 6
Crystalline Y6CuSe5 at its relaxed geometry. Source: Alexandria via LeMat-Bulk, functional GGA-PBE.

Calculated values
- formation energy (no corrections) (eV/f.u.) = -18.54
- Fermi-level density of states (states/eV per atom) = 0.36
- final energy (eV/atom) = -6.5705
- symmetry = No. 12

```
12
Lattice="3.547 -6.137 0.000 3.547 6.137 0.000 -2.370 0.000 6.677" Properties=species:S:1:pos:R:3 pbc="T T T"
Y -0.053 1.970 4.942
Y 1.090 0.000 1.711
Y -0.053 -1.970 4.942
Y 4.776 1.970 1.735
Y 3.633 0.000 4.966
Y 4.776 -1.970 1.735
Cu -1.185 0.000 3.338
Se 3.547 4.009 0.000
Se 2.362 2.028 3.338
Se 3.547 0.000 0.000
Se 2.362 -2.028 3.338
Se 3.547 -4.009 0.000
```